Here is an optimized crystal structure of La3Pm6Ho2Er from Alexandria. Energies are from PBE.

Results
- Symmetry: No. 12
- Total DFT energy (no corrections): -4.729 eV per atom

Lattice parameters (Å, degrees): 6.3148 6.3148 12.0761 95.02 95.02 120.04
Closest atoms and distances in Å follow each position.
Sites, in units of the cell vectors:
La1 0.0000 0.0000 0.0000  6 La 3.64-3.65, 6 Pm 3.71
La2 0.3333 0.6667 0.0000  6 La 3.64-3.65, 6 Pm 3.71
La3 0.6667 0.3333 0.0000  6 La 3.64-3.65, 6 Pm 3.71
Pm1 0.0857 0.4189 0.2569  1 Er 3.57, 2 Ho 3.58, 6 Pm 3.64-3.65, 3 La 3.71
Pm2 0.2479 0.2479 0.7432  2 Ho 3.58, 1 Er 3.58, 6 Pm 3.64-3.65, 3 La 3.71
Pm3 0.4189 0.0857 0.2569  1 Er 3.57, 2 Ho 3.58, 6 Pm 3.64-3.65, 3 La 3.71
Pm4 0.5811 0.9143 0.7431  1 Er 3.57, 2 Ho 3.58, 6 Pm 3.64-3.65, 3 La 3.71
Pm5 0.7521 0.7521 0.2568  2 Ho 3.58, 1 Er 3.58, 6 Pm 3.64-3.65, 3 La 3.71
Pm6 0.9143 0.5811 0.7431  1 Er 3.57, 2 Ho 3.58, 6 Pm 3.64-3.65, 3 La 3.71
Ho1 0.1666 0.8334 0.5000  6 Pm 3.58, 3 Er 3.64-3.65, 3 Ho 3.64-3.65
Ho2 0.8334 0.1666 0.5000  6 Pm 3.58, 3 Er 3.64-3.65, 3 Ho 3.64-3.65
Er1 0.5000 0.5000 0.5000  6 Pm 3.57-3.58, 6 Ho 3.64-3.65